# Nd2Be2SiGe

An optimized crystal structure of Nd2Be2SiGe (GGA-PBE, OQMD via LeMat-Bulk).

```
data_Nd2Be2SiGe
_chemical_formula_sum 'Nd2 Be2 Si1 Ge1'
_symmetry_space_group_name_H-M 'P -6 m 2'
_symmetry_Int_Tables_number 187
_symmetry_space_group_name_Hall 'P -6 2'
_cell_length_a 3.9775
_cell_length_b 3.9775
_cell_length_c 8.5014
_cell_angle_alpha 90.00
_cell_angle_beta 90.00
_cell_angle_gamma 120.00
loop_
_atom_site_label
_atom_site_type_symbol
_atom_site_fract_x
_atom_site_fract_y
_atom_site_fract_z
_atom_site_occupancy
Nd1 Nd 0.0000 0.0000 0.2477 1
Be1 Be 0.3333 0.6667 0.5000 1
Be2 Be 0.6667 0.3333 0.0000 1
Si1 Si 0.3333 0.6667 0.0000 1
Ge1 Ge 0.6667 0.3333 0.5000 1
```

***

# ScTaCuIr

An optimized crystal structure of ScTaCuIr (GGA-PBE, OQMD via LeMat-Bulk).

```
data_ScTaCuIr
_chemical_formula_sum 'Sc4 Ta4 Cu4 Ir4'
_symmetry_space_group_name_H-M 'F -4 3 m'
_symmetry_Int_Tables_number 216
_symmetry_space_group_name_Hall 'F -4 2 3'
_cell_length_a 6.297
_cell_length_b 6.297
_cell_length_c 6.297
_cell_angle_alpha 90.00
_cell_angle_beta 90.00
_cell_angle_gamma 90.00
loop_
_atom_site_label
_atom_site_type_symbol
_atom_site_fract_x
_atom_site_fract_y
_atom_site_fract_z
_atom_site_occupancy
Sc1 Sc 0.000 0.000 0.000 1
Ta1 Ta 0.250 0.250 0.750 1
Cu1 Cu 0.250 0.250 0.250 1
Ir1 Ir 0.000 0.000 0.500 1
```

***

# RbHoPb

An optimized crystal structure of RbHoPb (GGA-PBE, OQMD via LeMat-Bulk).

```
data_RbHoPb
_chemical_formula_sum 'Rb4 Ho4 Pb4'
_symmetry_space_group_name_H-M 'F -4 3 m'
_symmetry_Int_Tables_number 216
_symmetry_space_group_name_Hall 'F -4 2 3'
_cell_length_a 7.659
_cell_length_b 7.659
_cell_length_c 7.659
_cell_angle_alpha 90.00
_cell_angle_beta 90.00
_cell_angle_gamma 90.00
loop_
_atom_site_label
_atom_site_type_symbol
_atom_site_fract_x
_atom_site_fract_y
_atom_site_fract_z
_atom_site_occupancy
Rb1 Rb 0.000 0.000 0.000 1
Ho1 Ho 0.250 0.250 0.750 1
Pb1 Pb 0.000 0.000 0.500 1
```

***

# SrDyB

An optimized crystal structure of SrDyB (GGA-PBE, OQMD via LeMat-Bulk).

```
data_SrDyB
_chemical_formula_sum 'Sr4 Dy4 B4'
_symmetry_space_group_name_H-M 'F -4 3 m'
_symmetry_Int_Tables_number 216
_symmetry_space_group_name_Hall 'F -4 2 3'
_cell_length_a 6.687
_cell_length_b 6.687
_cell_length_c 6.687
_cell_angle_alpha 90.00
_cell_angle_beta 90.00
_cell_angle_gamma 90.00
loop_
_atom_site_label
_atom_site_type_symbol
_atom_site_fract_x
_atom_site_fract_y
_atom_site_fract_z
_atom_site_occupancy
Sr1 Sr 0.000 0.000 0.000 1
Dy1 Dy 0.000 0.000 0.500 1
B1 B 0.250 0.250 0.750 1
```

***

Quick rundown of DFT total energy, same order as above: -5.128, -8.024, -2.802, -3.860 eV/atom
Quick rundown of size of the total moment, same order as above: 0.0, 0.0, 0.0, 0.0 μB per cell